[1]
# Ce2TmMg

An optimized crystal structure of Ce2TmMg (PBE, Alexandria via LeMat-Bulk).

Calculated values
DFT total energy   -17.51 eV for the cell shown
Calculated volume   112.4 Å³/cell
Symmetry   P4/mmm (123)

Unit cell a=5.094 b=4.697 c=4.697 alpha=90.00 beta=90.00 gamma=90.00
Last column: magnetic moment on the atom in μB.
Element x y z (fractional)
Mg  0.500  0.000  0.000  0.00
Tm  0.500  0.500  0.500  0.18
Ce  0.000  0.000  0.500  0.75
Ce  0.000  0.500  0.000  0.75

[2]
# Nd2PaTl3Se6

An optimized crystal structure of Nd2PaTl3Se6 (PBE, Alexandria via LeMat-Bulk).

Calculated values
Calculated volume   369.4 Å³/cell
Formation energy from raw total energies   -1224 meV/atom
Symmetry   C2/m (12)

Unit cell a=7.378 b=7.378 c=8.210 alpha=98.62 beta=98.62 gamma=119.95
Last column: magnetic moment on the atom in μB.
Element x y z (fractional)
Nd  0.334  0.666  0.000  0.15
Nd  0.666  0.334  0.000  0.15
Pa  0.000  0.000  0.000  1.22
Tl  0.170  0.830  0.500  0.01
Tl  0.830  0.170  0.500  0.01
Tl  0.500  0.500  0.500  0.01
Se  0.930  0.608  0.790  -0.01
Se  0.749  0.749  0.212  -0.01
Se  0.070  0.392  0.210  -0.01
Se  0.608  0.930  0.790  -0.01
Se  0.251  0.251  0.788  -0.01
Se  0.392  0.070  0.210  -0.01

Values for D(E_F), states/eV/f.u., ordered as above
11.95; 8.12
Values for magnetic moment, μB per cell, ordered as above
2.14; 2.07
Values for mass density, g/cm³, ordered as above
6.996; 7.220